# Pr6Ga2TeSe3

A relaxed Pr6Ga2TeSe3 crystal (GGA-PBE, Alexandria via LeMat-Bulk).

Cell lengths 19.0385, 4.2318, 8.9376 Å; angles 90.00, 103.92, 90.00 degrees
Space group C2/m (No. 12)
Symmetry-distinct sites (fractional):
Pr1 0.0044 0.0000 0.2654 (multiplicity 4)
Pr2 0.1662 0.5000 0.5885 (multiplicity 4)
Pr3 0.1708 0.5000 0.0894 (multiplicity 4)
Ga1 0.1684 0.0000 0.3378 (multiplicity 4)
Te1 0.0000 0.5000 0.0000 (multiplicity 2)
Se1 0.0000 0.5000 0.5000 (multiplicity 2)
Se2 0.1633 0.0000 0.8357 (multiplicity 4)

magnetization	0.000	μB per formula unit
formation energy from raw total energies	-1.348	eV/atom